A plane-wave DFT calculation with PBE was carried out for a geometry-optimized Ca2ZnGa4Ir3 structure.

Output
Final energy (eV/f.u.): -49.12
Fermi-level density of states (states/eV per cell): 5.41
Formation energy from the elements (meV/atom): -515

Unit cell a=4.162 b=4.162 c=10.815 alpha=90.00 beta=90.00 gamma=90.00
Positions (direct):
Ca 0.500 0.000 0.245
Ca 0.000 0.500 0.755
Zn 0.500 0.500 0.500
Ga 0.500 0.500 0.000
Ga 0.000 0.000 0.000
Ga 0.500 0.000 0.636
Ga 0.000 0.500 0.364
Ir 0.000 0.000 0.500
Ir 0.500 0.000 0.866
Ir 0.000 0.500 0.134